# TcPtN

TcPtN after structural relaxation (PBE, the Alexandria database).

Calculated values
Magnetization in μB per formula unit: 0.00
Excess energy over the best structure of this formula in the dataset in eV per atom: 0.0000
Formation energy without anion corrections in eV per formula unit: 0.21

a b c (Å): 10.4706 2.7734 5.8898
angles (deg): 90.00 113.45 90.00
Sites, in units of the cell vectors:
Tc1 0.1448 0.0000 0.3451
Tc2 0.3552 0.5000 0.6549
Tc3 0.6448 0.5000 0.3451
Tc4 0.8552 0.0000 0.6549
Pt1 0.1026 0.5000 0.9024
Pt2 0.3974 0.0000 0.0976
Pt3 0.6026 0.0000 0.9024
Pt4 0.8974 0.5000 0.0976
N1 0.1587 0.5000 0.6089
N2 0.3413 0.0000 0.3911
N3 0.6587 0.0000 0.6089
N4 0.8413 0.5000 0.3911